# 1
# PBE BaSr2CaAg, relaxed
data_BaSr2CaAg
_cell_length_a 6.246
_cell_length_b 6.246
_cell_length_c 6.460
_cell_angle_alpha 90.00
_cell_angle_beta 90.00
_cell_angle_gamma 90.00
_symmetry_space_group_name_H-M 'P 4/m m m'
_symmetry_Int_Tables_number 123
_symmetry_space_group_name_Hall '-P 4 2'
loop_
_atom_site_label
_atom_site_type_symbol
_atom_site_fract_x
_atom_site_fract_y
_atom_site_fract_z
_atom_site_occupancy
Ba1 Ba 0.000 0.000 0.000 1
Sr1 Sr 0.000 0.500 0.500 1
Ca1 Ca 0.500 0.500 0.000 1
Ag1 Ag 0.000 0.000 0.500 1
# E_tot in Ry per atom: -0.1523
# Size of the total moment in Bohr magnetons per cell: 0.00
# D(E_F) in states/eV per cell: 3.715
# ΔE to the lowest computed polymorph in meV per atom: 47

# 2
# PBE Ta2TiNi6, relaxed
data_Ta2TiNi6
_cell_length_a 5.0086
_cell_length_b 5.0086
_cell_length_c 5.4314
_cell_angle_alpha 90.00
_cell_angle_beta 90.00
_cell_angle_gamma 120.00
_symmetry_space_group_name_H-M 'P -3 m 1'
_symmetry_Int_Tables_number 164
_symmetry_space_group_name_Hall '-P 3 2"'
loop_
_atom_site_label
_atom_site_type_symbol
_atom_site_fract_x
_atom_site_fract_y
_atom_site_fract_z
_atom_site_occupancy
Ta1 Ta 0.3333 0.6667 0.3676 1
Ti1 Ti 0.0000 0.0000 0.5000 1
Ni1 Ni 0.1750 0.3501 0.8266 1
# E_tot in Ry per atom: -0.5558
# Size of the total moment in Bohr magnetons per cell: 0.00
# D(E_F) in states/eV per cell: 7.488

# 3
# PBE SiSbSe4, relaxed
data_SiSbSe4
_cell_length_a 8.094
_cell_length_b 8.094
_cell_length_c 8.094
_cell_angle_alpha 90.00
_cell_angle_beta 90.00
_cell_angle_gamma 90.00
_symmetry_space_group_name_H-M 'F -4 3 m'
_symmetry_Int_Tables_number 216
_symmetry_space_group_name_Hall 'F -4 2 3'
loop_
_atom_site_label
_atom_site_type_symbol
_atom_site_fract_x
_atom_site_fract_y
_atom_site_fract_z
_atom_site_occupancy
Si1 Si 0.000 0.000 0.000 1
Sb1 Sb 0.250 0.250 0.750 1
Se1 Se 0.125 0.125 0.375 1
# E_tot in Ry per atom: -0.2323
# Size of the total moment in Bohr magnetons per cell: 0.00
# D(E_F) in states/eV per cell: 8.656
# ΔE to the lowest computed polymorph in meV per atom: 968
# E_form (uncorrected) in meV/atom: 752.7

# 4
# PBE Ni2WS, relaxed
data_Ni2WS
_cell_length_a 3.590
_cell_length_b 5.152
_cell_length_c 6.435
_cell_angle_alpha 100.88
_cell_angle_beta 99.36
_cell_angle_gamma 108.96
_symmetry_space_group_name_H-M 'P -1'
_symmetry_Int_Tables_number 2
_symmetry_space_group_name_Hall '-P 1'
loop_
_atom_site_label
_atom_site_type_symbol
_atom_site_fract_x
_atom_site_fract_y
_atom_site_fract_z
_atom_site_occupancy
Ni1 Ni 0.005 0.216 0.153 1
Ni2 Ni 0.287 0.393 0.811 1
W1 W 0.344 0.689 0.507 1
S1 S 0.354 0.891 0.194 1
# E_tot in Ry per atom: -0.5335
# Size of the total moment in Bohr magnetons per cell: 0.00
# D(E_F) in states/eV per cell: 5.431
# E_form (uncorrected) in meV/atom: -97.3

# 5
# PBE LiPdAu2, relaxed
data_LiPdAu2
_cell_length_a 4.029
_cell_length_b 4.029
_cell_length_c 3.972
_cell_angle_alpha 90.00
_cell_angle_beta 90.00
_cell_angle_gamma 90.00
_symmetry_space_group_name_H-M 'P 4/m m m'
_symmetry_Int_Tables_number 123
_symmetry_space_group_name_Hall '-P 4 2'
loop_
_atom_site_label
_atom_site_type_symbol
_atom_site_fract_x
_atom_site_fract_y
_atom_site_fract_z
_atom_site_occupancy
Li1 Li 0.000 0.000 0.000 1
Pd1 Pd 0.500 0.500 0.000 1
Au1 Au 0.000 0.500 0.500 1
# E_tot in Ry per atom: -0.2800
# Size of the total moment in Bohr magnetons per cell: 0.00
# D(E_F) in states/eV per cell: 1.520
# ΔE to the lowest computed polymorph in meV per atom: 0

# 6
# PBE ThSc2Au4, relaxed
data_ThSc2Au4
_cell_length_a 4.980
_cell_length_b 8.617
_cell_length_c 14.315
_cell_angle_alpha 90.00
_cell_angle_beta 90.00
_cell_angle_gamma 90.00
_symmetry_space_group_name_H-M 'C m c m'
_symmetry_Int_Tables_number 63
_symmetry_space_group_name_Hall '-C 2c 2'
loop_
_atom_site_label
_atom_site_type_symbol
_atom_site_fract_x
_atom_site_fract_y
_atom_site_fract_z
_atom_site_occupancy
Th1 Th 0.000 0.001 0.250 1
Sc1 Sc 0.000 0.333 0.059 1
Au1 Au 0.000 0.000 0.000 1
Au2 Au 0.000 0.333 0.635 1
Au3 Au 0.000 0.334 0.250 1
# E_tot in Ry per atom: -0.3972
# Size of the total moment in Bohr magnetons per cell: 0.00
# D(E_F) in states/eV per cell: 20.160

# 7
# PBE Er4ZnPd2, relaxed
data_Er4ZnPd2
_cell_length_a 4.7376
_cell_length_b 4.7376
_cell_length_c 27.0670
_cell_angle_alpha 90.00
_cell_angle_beta 90.00
_cell_angle_gamma 120.00
_symmetry_space_group_name_H-M 'R -3 m'
_symmetry_Int_Tables_number 166
_symmetry_space_group_name_Hall '-R 3 2"'
loop_
_atom_site_label
_atom_site_type_symbol
_atom_site_fract_x
_atom_site_fract_y
_atom_site_fract_z
_atom_site_occupancy
Er1 Er 0.0000 0.0000 0.1202 1
Er2 Er 0.0000 0.0000 0.2950 1
Zn1 Zn 0.0000 0.0000 0.5000 1
Pd1 Pd 0.0000 0.0000 0.4039 1
# E_tot in Ry per atom: -0.3507
# Size of the total moment in Bohr magnetons per cell: 0.00
# D(E_F) in states/eV per cell: 17.539
# ΔE to the lowest computed polymorph in meV per atom: 71

# 8
# PBE Zn2IrSe, relaxed
data_Zn2IrSe
_cell_length_a 2.890
_cell_length_b 4.271
_cell_length_c 11.645
_cell_angle_alpha 90.00
_cell_angle_beta 90.00
_cell_angle_gamma 90.00
_symmetry_space_group_name_H-M 'I m m 2'
_symmetry_Int_Tables_number 44
_symmetry_space_group_name_Hall 'I 2 -2'
loop_
_atom_site_label
_atom_site_type_symbol
_atom_site_fract_x
_atom_site_fract_y
_atom_site_fract_z
_atom_site_occupancy
Zn1 Zn 0.000 0.000 0.000 1
Zn2 Zn 0.000 0.500 0.162 1
Ir1 Ir 0.000 0.500 0.689 1
Se1 Se 0.000 0.000 0.367 1
# E_tot in Ry per atom: -0.2816
# Size of the total moment in Bohr magnetons per cell: 0.00
# D(E_F) in states/eV per cell: 1.977
# E_form (uncorrected) in meV/atom: -108.4

# 9
# PBE La2Nd2Sb3, relaxed
data_La2Nd2Sb3
_cell_length_a 9.606
_cell_length_b 9.606
_cell_length_c 9.606
_cell_angle_alpha 90.00
_cell_angle_beta 90.00
_cell_angle_gamma 90.00
_symmetry_space_group_name_H-M 'I 21 3'
_symmetry_Int_Tables_number 199
_symmetry_space_group_name_Hall 'I 2b 2c 3'
loop_
_atom_site_label
_atom_site_type_symbol
_atom_site_fract_x
_atom_site_fract_y
_atom_site_fract_z
_atom_site_occupancy
La1 La 0.178 0.178 0.178 1
Nd1 Nd 0.069 0.431 0.569 1
Sb1 Sb 0.000 0.250 0.870 1
# E_tot in Ry per atom: -0.4144
# Size of the total moment in Bohr magnetons per cell: 0.00
# D(E_F) in states/eV per cell: 31.021
# E_form (uncorrected) in meV/atom: -1101.4

# 10
# PBE Cu6PdPt5, relaxed
data_Cu6PdPt5
_cell_length_a 4.554
_cell_length_b 5.539
_cell_length_c 6.624
_cell_angle_alpha 90.00
_cell_angle_beta 94.20
_cell_angle_gamma 90.00
_symmetry_space_group_name_H-M 'P 1 2/m 1'
_symmetry_Int_Tables_number 10
_symmetry_space_group_name_Hall '-P 2y'
loop_
_atom_site_label
_atom_site_type_symbol
_atom_site_fract_x
_atom_site_fract_y
_atom_site_fract_z
_atom_site_occupancy
Cu1 Cu 0.000 0.250 0.000 1
Cu2 Cu 0.336 0.249 0.665 1
Pd1 Pd 0.500 0.500 0.000 1
Pt1 Pt 0.162 0.500 0.332 1
Pt2 Pt 0.164 0.000 0.331 1
Pt3 Pt 0.500 0.000 0.000 1
# E_tot in Ry per atom: -0.3774
# Size of the total moment in Bohr magnetons per cell: 0.00
# D(E_F) in states/eV per cell: 13.393

# 11
# PBE TiHPdRu2, relaxed
data_TiHPdRu2
_cell_length_a 3.888
_cell_length_b 3.888
_cell_length_c 3.978
_cell_angle_alpha 90.00
_cell_angle_beta 90.00
_cell_angle_gamma 90.00
_symmetry_space_group_name_H-M 'P 4/m m m'
_symmetry_Int_Tables_number 123
_symmetry_space_group_name_Hall '-P 4 2'
loop_
_atom_site_label
_atom_site_type_symbol
_atom_site_fract_x
_atom_site_fract_y
_atom_site_fract_z
_atom_site_occupancy
Ti1 Ti 0.000 0.000 0.000 1
H1 H 0.000 0.000 0.500 1
Pd1 Pd 0.500 0.500 0.000 1
Ru1 Ru 0.000 0.500 0.500 1
# E_tot in Ry per atom: -0.5352
# Size of the total moment in Bohr magnetons per cell: 0.00
# D(E_F) in states/eV per cell: 3.880
# ΔE to the lowest computed polymorph in meV per atom: 0

# 12
# PBE La2YTaCu, relaxed
data_La2YTaCu
_cell_length_a 5.620
_cell_length_b 5.620
_cell_length_c 5.512
_cell_angle_alpha 90.00
_cell_angle_beta 90.00
_cell_angle_gamma 90.00
_symmetry_space_group_name_H-M 'P 4/m m m'
_symmetry_Int_Tables_number 123
_symmetry_space_group_name_Hall '-P 4 2'
loop_
_atom_site_label
_atom_site_type_symbol
_atom_site_fract_x
_atom_site_fract_y
_atom_site_fract_z
_atom_site_occupancy
La1 La 0.000 0.500 0.000 1
Y1 Y 0.000 0.000 0.500 1
Ta1 Ta 0.000 0.000 0.000 1
Cu1 Cu 0.500 0.500 0.500 1
# E_tot in Ry per atom: -0.4190
# Size of the total moment in Bohr magnetons per cell: 0.00
# D(E_F) in states/eV per cell: 5.460